Entry 1:
A relaxed structure of Hg5Bi3N2, computed with GGA-PBE.

Output
Raw formation energy (meV per atom): 372.3
Total moment (μB per cell): 0.0

```
data_Hg5Bi3N2
_space_group_name_H-M_alt 'P -1'
_space_group_IT_number 2
_space_group_name_Hall '-P 1'
_cell_length_a 5.886
_cell_length_b 9.745
_cell_length_c 9.793
_cell_angle_alpha 107.16
_cell_angle_beta 92.77
_cell_angle_gamma 91.85
loop_
_atom_site_label
_atom_site_type_symbol
_atom_site_fract_x
_atom_site_fract_y
_atom_site_fract_z
Hg1 Hg 0.218 0.119 0.184
Hg2 Hg 0.233 0.261 0.531
Hg3 Hg 0.262 0.896 0.512
Hg4 Hg 0.270 0.553 0.415
Hg5 Hg 0.274 0.797 0.216
Bi1 Bi 0.218 0.380 0.972
Bi2 Bi 0.277 0.983 0.822
Bi3 Bi 0.281 0.648 0.786
N1 N 0.165 0.625 0.000
N2 N 0.346 0.377 0.183
```

***

Entry 2:
A relaxed structure of LaSc3C, computed with GGA-PBE.

Output
Energy above the lowest structure with this stoichiometry (eV per atom): 0.000
E_form (eV per atom): -0.0539
Total moment (μB per cell): 0.0

```
data_LaSc3C
_space_group_name_H-M_alt 'P m -3 m'
_space_group_IT_number 221
_space_group_name_Hall '-P 4 2 3'
_cell_length_a 4.746
_cell_length_b 4.746
_cell_length_c 4.746
_cell_angle_alpha 90.00
_cell_angle_beta 90.00
_cell_angle_gamma 90.00
loop_
_atom_site_label
_atom_site_type_symbol
_atom_site_fract_x
_atom_site_fract_y
_atom_site_fract_z
La1 La 0.000 0.000 0.000
Sc1 Sc 0.000 0.500 0.500
C1 C 0.500 0.500 0.500
```

***

Entry 3:
A relaxed structure of Na5As3Pt3, computed with GGA-PBE.

Output
E_form (eV per atom): -0.2142
Total moment (μB per cell): 0.0

```
data_Na5As3Pt3
_space_group_name_H-M_alt 'P -6 2 m'
_space_group_IT_number 189
_space_group_name_Hall 'P -6 -2'
_cell_length_a 9.1496
_cell_length_b 9.1496
_cell_length_c 4.5713
_cell_angle_alpha 90.00
_cell_angle_beta 90.00
_cell_angle_gamma 120.00
loop_
_atom_site_label
_atom_site_type_symbol
_atom_site_fract_x
_atom_site_fract_y
_atom_site_fract_z
Na1 Na 0.0000 0.7337 0.0000
Na2 Na 0.3333 0.6667 0.0000
As1 As 0.0000 0.3643 0.0000
Pt1 Pt 0.0000 0.3583 0.5000
```

***

Entry 4:
A relaxed structure of CaHo2Zn6, computed with GGA-PBE.

Output
E_form (eV per atom): -0.3394
Total moment (μB per cell): 0.0

```
data_CaHo2Zn6
_space_group_name_H-M_alt 'P 6/m m m'
_space_group_IT_number 191
_space_group_name_Hall '-P 6 2'
_cell_length_a 7.7940
_cell_length_b 7.7940
_cell_length_c 3.4835
_cell_angle_alpha 90.00
_cell_angle_beta 90.00
_cell_angle_gamma 120.00
loop_
_atom_site_label
_atom_site_type_symbol
_atom_site_fract_x
_atom_site_fract_y
_atom_site_fract_z
Ca1 Ca 0.0000 0.0000 0.0000
Ho1 Ho 0.3333 0.6667 0.0000
Zn1 Zn 0.0000 0.3348 0.5000
```

***

> Look up the total moment of the first one.

0.0 μB per cell